Entry 1:
# Cd2RhBr

A relaxed structure of Cd2RhBr (PBE, the Alexandria database).

Lattice parameters (Å, degrees): 3.3364 3.3364 7.5447 90.00 90.00 90.00
Positions (direct):
Cd1 0.0000 0.0000 0.4570
Br1 0.5000 0.5000 0.7500
Rh1 0.5000 0.5000 0.2500
Cd2 0.0000 0.0000 0.0430

Output
DOS at the Fermi energy   0.089 states/eV/atom
Crystal system   tetragonal
Total magnetization   0.00 μB per formula unit
Final energy   -2.8546 eV per atom
Energy relative to the lowest polymorph listed for this composition   13 kJ/mol of formula units


Entry 2:
# CdRhSe2Br

A relaxed structure of CdRhSe2Br (PBE, the Alexandria database).

Lattice parameters (Å, degrees): 4.9207 4.9207 5.1098 90.00 90.00 90.00
Positions (direct):
Se1 0.0000 0.5000 0.0000
Se2 0.5000 0.0000 0.0000
Cd1 0.5000 0.5000 0.5000
Br1 0.0000 0.0000 0.5000
Rh1 0.0000 0.0000 0.0000

Output
DOS at the Fermi energy   1.046 states/eV/atom
Crystal system   tetragonal
Total magnetization   0.00 μB per formula unit
Final energy   -3.2605 eV per atom
Energy relative to the lowest polymorph listed for this composition   0 kJ/mol of formula units


Entry 3:
# Sr2CdRhBr

A relaxed structure of Sr2CdRhBr (PBE, the Alexandria database).

Lattice parameters (Å, degrees): 5.7762 5.7762 5.1530 90.00 90.00 90.00
Positions (direct):
Sr1 0.0000 0.5000 0.0000
Cd1 0.0000 0.0000 0.5000
Rh1 0.0000 0.0000 0.0000
Sr2 0.5000 0.0000 0.0000
Br1 0.5000 0.5000 0.5000

Output
DOS at the Fermi energy   0.563 states/eV/atom
Crystal system   tetragonal
Total magnetization   0.00 μB per formula unit
Final energy   -3.2681 eV per atom


Entry 4:
# TaCdRhBr2

A relaxed structure of TaCdRhBr2 (PBE, the Alexandria database).

Lattice parameters (Å, degrees): 5.0790 5.0410 5.0790 90.00 90.00 90.00
Positions (direct):
Br1 0.5000 0.0000 0.0000
Ta1 0.0000 0.0000 0.0000
Rh1 0.0000 0.5000 0.0000
Br2 0.0000 0.0000 0.5000
Cd1 0.5000 0.5000 0.5000

Output
DOS at the Fermi energy   1.068 states/eV/atom
Crystal system   tetragonal
Total magnetization   0.00 μB per formula unit
Final energy   -4.2939 eV per atom


Entry 5:
# Tl2CdRhBr

A relaxed structure of Tl2CdRhBr (PBE, the Alexandria database).

Lattice parameters (Å, degrees): 5.3210 5.3210 5.2459 90.00 90.00 90.00
Positions (direct):
Tl1 0.5000 0.0000 0.0000
Tl2 0.0000 0.5000 0.0000
Rh1 0.0000 0.0000 0.0000
Cd1 0.0000 0.0000 0.5000
Br1 0.5000 0.5000 0.5000

Output
DOS at the Fermi energy   0.190 states/eV/atom
Crystal system   tetragonal
Total magnetization   0.00 μB per formula unit
Final energy   -3.1690 eV per atom


Entry 6:
# CdRuBr

A relaxed structure of CdRuBr (PBE, the Alexandria database).

Lattice parameters (Å, degrees): 6.5697 6.5697 6.5697 152.05 152.05 39.94
Site moments in Bohr magnetons follow the coordinates.
Positions (direct):
Ru1 0.6623 0.6623 0.0000  1.03
Br1 0.0335 0.0335 0.0000  0.12
Cd1 0.3042 0.3042 0.0000  -0.01

Output
DOS at the Fermi energy   1.029 states/eV/atom
Crystal system   tetragonal
Total magnetization   1.19 μB per formula unit
Final energy   -3.4637 eV per atom
Energy relative to the lowest polymorph listed for this composition   19 kJ/mol of formula units


Entry 7:
# CdRuBr

A relaxed structure of CdRuBr (PBE, the Alexandria database).

Lattice parameters (Å, degrees): 4.4744 4.4744 3.3524 90.00 90.00 120.00
Site moments in Bohr magnetons follow the coordinates.
Positions (direct):
Ru1 0.3333 0.6667 0.8334  0.24
Cd1 0.6667 0.3333 0.3335  0.00
Br1 0.0000 0.0000 0.8331  0.02

Output
DOS at the Fermi energy   1.288 states/eV/atom
Crystal system   hexagonal
Total magnetization   0.28 μB per formula unit
Final energy   -3.3084 eV per atom
Energy relative to the lowest polymorph listed for this composition   64 kJ/mol of formula units


Entry 8:
# CdRuBr

A relaxed structure of CdRuBr (PBE, the Alexandria database).

Lattice parameters (Å, degrees): 7.6331 7.2619 3.2198 84.06 71.13 24.81
Positions (direct):
Br1 0.9773 0.9773 0.0227
Cd1 0.6814 0.6814 0.3186
Ru1 0.3412 0.3412 0.6587

Output
DOS at the Fermi energy   0.938 states/eV/atom
Crystal system   orthorhombic
Total magnetization   0.00 μB per formula unit
Final energy   -3.4157 eV per atom
Energy relative to the lowest polymorph listed for this composition   33 kJ/mol of formula units


Entry 9:
# CdRuBr

A relaxed structure of CdRuBr (PBE, the Alexandria database).

Lattice parameters (Å, degrees): 4.5747 4.5747 4.5747 60.00 60.00 60.00
Site moments in Bohr magnetons follow the coordinates.
Positions (direct):
Ru1 0.7500 0.7500 0.7500  1.49
Br1 0.0000 0.0000 0.0000  0.11
Cd1 0.5000 0.5000 0.5000  0.02

Output
DOS at the Fermi energy   1.339 states/eV/atom
Crystal system   cubic
Total magnetization   1.77 μB per formula unit
Final energy   -3.2092 eV per atom
Energy relative to the lowest polymorph listed for this composition   93 kJ/mol of formula units


Entry 10:
# CdRuBr

A relaxed structure of CdRuBr (PBE, the Alexandria database).

Lattice parameters (Å, degrees): 3.3099 3.3099 6.4723 90.00 90.00 120.00
Site moments in Bohr magnetons follow the coordinates.
Positions (direct):
Ru1 0.3333 0.6667 0.6849  0.55
Br1 0.0000 0.0000 0.9475  0.04
Cd1 0.6667 0.3333 0.3676  -0.01

Output
DOS at the Fermi energy   1.059 states/eV/atom
Crystal system   trigonal
Total magnetization   0.61 μB per formula unit
Final energy   -3.5303 eV per atom
Energy relative to the lowest polymorph listed for this composition   0 kJ/mol of formula units


Entry 11:
# CdRuBr3

A relaxed structure of CdRuBr3 (PBE, the Alexandria database).

Lattice parameters (Å, degrees): 5.1204 5.1204 5.1204 90.00 90.00 90.00
Site moments in Bohr magnetons follow the coordinates.
Positions (direct):
Ru1 0.0000 0.0000 0.0000  1.25
Br1 0.0000 0.5000 0.0000  0.03
Br2 0.5000 0.0000 0.0000  0.06
Br3 0.0000 0.0000 0.5000  0.05
Cd1 0.5000 0.5000 0.5000  -0.05

Output
DOS at the Fermi energy   1.280 states/eV/atom
Crystal system   cubic
Total magnetization   1.43 μB per formula unit
Final energy   -2.9572 eV per atom
Energy relative to the lowest polymorph listed for this composition   0 kJ/mol of formula units


Entry 12:
# Cd4RuBr

A relaxed structure of Cd4RuBr (PBE, the Alexandria database).

Lattice parameters (Å, degrees): 5.7264 5.7264 5.7264 60.00 60.00 60.00
Site moments in Bohr magnetons follow the coordinates.
Positions (direct):
Ru1 0.7500 0.7500 0.7500  1.32
Br1 0.0000 0.0000 0.0000  0.01
Cd1 0.3759 0.8722 0.3759  -0.04
Cd2 0.3759 0.3759 0.8722  -0.04
Cd3 0.3759 0.3759 0.3759  -0.04
Cd4 0.8722 0.3759 0.3759  -0.04

Output
DOS at the Fermi energy   0.436 states/eV/atom
Crystal system   cubic
Total magnetization   1.04 μB per formula unit
Final energy   -1.8961 eV per atom